No. 1
An optimized crystal structure of CoPdBr2. Source: the Alexandria database, functional PBE-GGA.

a b c (Å): 5.8850 5.8850 7.0009
angles (deg): 65.15 65.15 90.00
With the nearest neighbours (Å) after each atom.
Fractional positions:
Co  0.2500  0.7500  0.5000  4 Br 2.41
Co  0.5000  0.5000  0.0000  4 Br 2.41
Pd  0.0000  0.0000  0.0000  4 Br 2.62
Pd  0.7500  0.2500  0.5000  4 Br 2.62
Br  0.1555  0.6250  0.2500  2 Co 2.41, 2 Pd 2.62
Br  0.8750  0.8445  0.7500  2 Co 2.41, 2 Pd 2.62
Br  0.5945  0.1250  0.2500  2 Co 2.41, 2 Pd 2.62
Br  0.3750  0.4055  0.7500  2 Co 2.41, 2 Pd 2.62

Formation energy from raw total energies: 0.153 eV per atom
Energy relative to the lowest polymorph listed for this composition: 0.023 eV/atom
Calculated total energy: -3.758 eV per atom
Total moment: 2.9 μB per formula unit


No. 2
An optimized crystal structure of Li2AlMo. Source: the Alexandria database, functional PBE-GGA.

a b c (Å): 2.6109 2.6109 9.3134
angles (deg): 90.00 90.00 103.42
With the nearest neighbours (Å) after each atom.
Fractional positions:
Li  0.0000  0.0000  0.5041  4 Li 2.61, 2 Al 2.80, 2 Mo 2.87
Li  0.0000  0.0000  0.9959  4 Li 2.61, 2 Al 2.80, 2 Mo 2.87
Al  0.5000  0.5000  0.7500  4 Al 2.61, 4 Li 2.80
Mo  0.5000  0.5000  0.2500  4 Mo 2.61, 4 Li 2.87

Calculated total energy: -4.452 eV per atom
Energy relative to the elements: 0.59 eV per formula unit
Total moment: 0.0 μB per formula unit


No. 3
An optimized crystal structure of BaSi2Ni. Source: the Alexandria database, functional PBE-GGA.

a b c (Å): 4.0764 4.5840 5.1727
angles (deg): 89.93 90.00 90.00
With the nearest neighbours (Å) after each atom.
Fractional positions:
Ni  0.5000  0.7597  0.9999  4 Si 2.26-2.33
Ba  0.0000  0.4956  0.5000  8 Si 3.40-3.51, 4 Ni 3.51
Si  0.0000  0.9776  0.9997  2 Ni 2.27, 2 Si 2.43
Si  0.5000  0.2671  0.0004  2 Ni 2.26-2.33, 2 Si 2.43

Formation energy from raw total energies: -0.277 eV per atom
Calculated total energy: -4.914 eV per atom
Total moment: 0.0 μB per formula unit


No. 4
An optimized crystal structure of CdIn12Ga2. Source: the Alexandria database, functional PBE-GGA.

a b c (Å): 6.5567 6.5567 19.8055
angles (deg): 90.00 90.00 90.00
With the nearest neighbours (Å) after each atom.
Fractional positions:
In  0.0000  0.0000  0.1988  5 In 2.81-3.04
In  0.7514  0.2514  0.0991  2 Cd 3.03-3.05, 6 In 3.04-3.28
In  0.0000  0.0000  0.6594  5 In 2.81-3.04
In  0.1720  0.3280  0.4326  4 In 3.04-3.19, 1 Ga 3.31
In  0.3280  0.8280  0.4326  4 In 3.04-3.19, 1 Ga 3.31
In  0.5000  0.5000  0.3406  5 In 2.81-3.04
In  0.5000  0.5000  0.1988  5 In 2.81-3.04
In  0.2514  0.7514  0.9009  2 Cd 3.03-3.05, 6 In 3.04-3.28
In  0.8280  0.3280  0.5674  4 In 3.04-3.19, 1 Ga 3.31
In  0.2486  0.7486  0.0991  2 Cd 3.03-3.05, 6 In 3.04-3.28
In  0.5000  0.5000  0.8012  5 In 2.81-3.04
In  0.7486  0.2486  0.9009  2 Cd 3.03-3.05, 6 In 3.04-3.28
In  0.0000  0.0000  0.8012  5 In 2.81-3.04
In  0.6720  0.1720  0.4326  4 In 3.04-3.19, 1 Ga 3.31
In  0.3280  0.1720  0.5674  4 In 3.04-3.19, 1 Ga 3.31
In  0.0000  0.0000  0.3406  5 In 2.81-3.04
In  0.7486  0.7514  0.0991  2 Cd 3.03-3.05, 6 In 3.04-3.28
In  0.2486  0.2514  0.9009  2 Cd 3.03-3.05, 6 In 3.04-3.28
In  0.6720  0.8280  0.5674  4 In 3.04-3.19, 1 Ga 3.31
In  0.5000  0.5000  0.6594  5 In 2.81-3.04
In  0.8280  0.6720  0.4326  4 In 3.04-3.19, 1 Ga 3.31
In  0.7514  0.7486  0.9009  2 Cd 3.03-3.05, 6 In 3.04-3.28
In  0.2514  0.2486  0.0991  2 Cd 3.03-3.05, 6 In 3.04-3.28
In  0.1720  0.6720  0.5674  4 In 3.04-3.19, 1 Ga 3.31
Ga  0.5000  0.0000  0.2860  10 In 3.31-3.71
Ga  0.0000  0.5000  0.7140  10 In 3.31-3.71
Ga  0.0000  0.5000  0.2860  10 In 3.31-3.71
Ga  0.5000  0.0000  0.7140  10 In 3.31-3.71
Cd  0.0000  0.5000  0.0000  8 In 3.03-3.05
Cd  0.5000  0.0000  0.0000  8 In 3.03-3.05

Calculated total energy: -2.526 eV per atom
Energy relative to the elements: 1.94 eV per formula unit
Total moment: 0.0 μB per formula unit


No. 5
An optimized crystal structure of DyY2Co6. Source: the Alexandria database, functional PBE-GGA.

a b c (Å): 4.0514 6.6595 6.6595
angles (deg): 120.00 90.00 90.00
With the nearest neighbours (Å) after each atom.
Fractional positions:
Co  0.5000  0.3331  0.0000  3 Co 2.22
Co  0.5000  0.6669  0.6669  3 Co 2.22
Co  0.5000  0.6669  0.0000  3 Co 2.22
Co  0.5000  0.0000  0.3331  3 Co 2.22
Co  0.5000  0.3331  0.3331  3 Co 2.22
Co  0.5000  0.0000  0.6669  3 Co 2.22
Y  0.0000  0.6667  0.3333  12 Co 3.01
Y  0.0000  0.3333  0.6667  12 Co 3.01
Dy  0.0000  0.0000  0.0000  12 Co 3.00

Calculated total energy: -6.863 eV per atom
Energy relative to the elements: -1.60 eV per formula unit
Total moment: 4.4 μB per formula unit


No. 6
An optimized crystal structure of CeZnPt4. Source: the Alexandria database, functional PBE-GGA.

a b c (Å): 3.9742 6.7047 8.2389
angles (deg): 90.00 103.96 90.00
With the nearest neighbours (Å) after each atom.
Fractional positions:
Ce  0.8930  0.7500  0.7861  9 Pt 2.84-3.11
Ce  0.1070  0.2500  0.2139  9 Pt 2.84-3.11
Pt  0.3281  0.0423  0.6561  3 Zn 2.49-2.61, 2 Pt 2.76-2.78
Pt  0.5000  0.5000  0.0000  6 Pt 2.76-2.84
Pt  0.6719  0.5423  0.3439  3 Zn 2.49-2.61, 2 Pt 2.76-2.78
Pt  0.5000  0.0000  0.0000  6 Pt 2.76-2.84
Pt  0.9291  0.2500  0.8583  1 Zn 2.58, 4 Pt 2.84, 1 Ce 2.84
Pt  0.0709  0.7500  0.1417  1 Zn 2.58, 4 Pt 2.84, 1 Ce 2.84
Pt  0.3281  0.4577  0.6561  3 Zn 2.49-2.61, 2 Pt 2.76-2.78
Pt  0.6719  0.9577  0.3439  3 Zn 2.49-2.61, 2 Pt 2.76-2.78
Zn  0.2321  0.7500  0.4641  7 Pt 2.49-2.61
Zn  0.7679  0.2500  0.5359  7 Pt 2.49-2.61

Calculated total energy: -5.961 eV per atom
Energy relative to the elements: -4.40 eV per formula unit
Total moment: 0.2 μB per formula unit


No. 7
An optimized crystal structure of LaTi2MnAg. Source: the Alexandria database, functional PBE-GGA.

a b c (Å): 4.8883 4.8801 4.8883
angles (deg): 90.00 90.00 90.00
With the nearest neighbours (Å) after each atom.
Fractional positions:
La  0.5000  0.5000  0.5000  8 Ti 3.45, 4 Mn 3.46
Ag  0.0000  0.0000  0.0000  2 Mn 2.44, 4 Ti 2.44
Mn  0.0000  0.5000  0.0000  2 Ag 2.44
Ti  0.0000  0.0000  0.5000  2 Ag 2.44
Ti  0.5000  0.0000  0.0000  2 Ag 2.44

Energy relative to the lowest polymorph listed for this composition: 0.903 eV/atom
Calculated total energy: -5.424 eV per atom
Energy relative to the elements: 5.62 eV per formula unit
Total moment: 0.3 μB per formula unit


No. 8
An optimized crystal structure of CoNiAs2Cl. Source: the Alexandria database, functional PBE-GGA.

a b c (Å): 4.3971 5.1440 4.3971
angles (deg): 90.00 90.00 90.00
With the nearest neighbours (Å) after each atom.
Fractional positions:
Cl  0.5000  0.5000  0.5000  4 Co 3.11, 8 As 3.38
Ni  0.0000  0.0000  0.0000  4 As 2.20
As  0.5000  0.0000  0.0000  2 Ni 2.20
As  0.0000  0.0000  0.5000  2 Ni 2.20
Co  0.0000  0.5000  0.0000  2 Ni 2.57

Formation energy from raw total energies: 0.575 eV per atom
Calculated total energy: -4.232 eV per atom
Total moment: 2.0 μB per formula unit


No. 9
An optimized crystal structure of CaTaPb2. Source: the Alexandria database, functional PBE-GGA.

a b c (Å): 6.0618 6.0618 6.0618
angles (deg): 137.72 137.63 61.40
With the nearest neighbours (Å) after each atom.
Fractional positions:
Pb  0.0000  0.0000  0.0000  4 Ta 3.09, 4 Pb 3.40, 4 Ca 3.40
Pb  0.7497  0.2497  0.5000  4 Ca 3.09, 4 Ta 3.40-3.41, 4 Pb 3.40
Ca  0.2502  0.7502  0.5000  8 Pb 3.09-3.40, 4 Ta 3.40
Ta  0.5002  0.5002  0.0000  8 Pb 3.09-3.41, 4 Ca 3.40

Calculated total energy: -4.989 eV per atom
Energy relative to the elements: 1.32 eV per formula unit
Total moment: 0.0 μB per formula unit


No. 10
An optimized crystal structure of Cs3SnBi3S8. Source: the Alexandria database, functional PBE-GGA.

a b c (Å): 8.2036 8.2047 9.5612
angles (deg): 115.45 90.00 119.99
With the nearest neighbours (Å) after each atom.
Fractional positions:
S  0.2699  0.5398  0.3097  3 Bi 2.85
S  0.7871  0.0349  0.3222  1 Sn 2.63, 2 Bi 2.87
S  0.2128  0.4257  0.6778  1 Sn 2.63, 2 Bi 2.88
S  0.7301  0.4602  0.6903  3 Bi 2.85
S  0.2129  0.9651  0.6778  1 Sn 2.63, 2 Bi 2.87
S  0.7872  0.5743  0.3222  1 Sn 2.63, 2 Bi 2.88
S  0.2477  0.0349  0.3222  1 Sn 2.63, 2 Bi 2.87-2.88
S  0.7523  0.9651  0.6778  1 Sn 2.63, 2 Bi 2.87-2.88
Bi  0.0000  0.5000  0.5000  6 S 2.85-2.88
Bi  0.5000  0.0000  0.5000  6 S 2.85-2.87
Bi  0.5000  0.5000  0.5000  6 S 2.85-2.88
Cs  0.0000  0.0000  0.0000  6 S 3.49-3.52
Cs  0.0000  0.5000  0.0000  6 S 3.50-3.52
Cs  0.5000  0.5000  0.0000  6 S 3.50-3.52
Sn  0.0000  0.0000  0.5000  6 S 2.63

Formation energy from raw total energies: -0.698 eV per atom
Calculated total energy: -4.113 eV per atom
Total moment: 0.0 μB per formula unit


No. 11
An optimized crystal structure of KPd4Pb8. Source: the Alexandria database, functional PBE-GGA.

a b c (Å): 6.2031 7.9336 7.9336
angles (deg): 81.21 66.99 66.99
With the nearest neighbours (Å) after each atom.
Fractional positions:
Pb  0.6613  0.3387  0.3387  4 Pd 3.15, 5 Pb 3.33-3.35, 1 K 3.50
Pb  0.0000  0.3387  0.6613  4 Pd 3.15, 5 Pb 3.33-3.35, 1 K 3.50
Pb  0.0000  0.6613  0.3387  4 Pd 3.15, 5 Pb 3.33-3.35, 1 K 3.50
Pb  0.5000  0.7812  0.2188  4 Pd 3.03, 6 Pb 3.20-3.35
Pb  0.3387  0.6613  0.6613  4 Pd 3.15, 5 Pb 3.33-3.35, 1 K 3.50
Pb  0.7188  0.7812  0.7812  4 Pd 3.03, 6 Pb 3.20-3.35
Pb  0.5000  0.2188  0.7812  4 Pd 3.03, 6 Pb 3.20-3.35
Pb  0.2812  0.2188  0.2188  4 Pd 3.03, 6 Pb 3.20-3.35
Pd  0.5000  0.0000  0.5000  8 Pb 3.03-3.15, 2 Pd 3.10
Pd  0.0000  0.5000  0.0000  8 Pb 3.03-3.15, 2 Pd 3.10
Pd  0.5000  0.5000  0.0000  8 Pb 3.03-3.15, 2 Pd 3.10
Pd  0.0000  0.0000  0.5000  8 Pb 3.03-3.15, 2 Pd 3.10
K  0.0000  0.0000  0.0000  12 Pb 3.50-3.84

Calculated total energy: -4.091 eV per atom
Energy relative to the elements: -1.65 eV per formula unit
Total moment: 0.0 μB per formula unit